Here is a relaxed structure of La2Sm3Cd2 from the Alexandria database. Energies are from PBE.

Lattice parameters (Å, degrees): 3.6809 3.6486 16.5106 90.00 96.40 90.00
With the nearest neighbours (Å) after each atom.
Fractional coordinates of all 7 atoms:
Cd1 0.8621 0.0000 0.7242  4 Sm 3.28, 4 La 3.41, 2 Cd 3.65
Cd2 0.1379 0.0000 0.2758  4 Sm 3.28, 4 La 3.41, 2 Cd 3.65
La1 0.7056 0.5000 0.4111  4 Cd 3.41, 6 La 3.45-3.68
Sm1 0.4235 0.5000 0.8469  4 Cd 3.28, 6 Sm 3.61-3.65
Sm2 0.5765 0.5000 0.1531  4 Cd 3.28, 6 Sm 3.61-3.65
La2 0.2944 0.5000 0.5889  4 Cd 3.41, 6 La 3.45-3.68
Sm3 0.0000 0.0000 0.0000  12 Sm 3.61-3.68

Formation enthalpy at 0 K ... -0.12 eV per atom
Calculated total energy ... -26.698 eV/f.u.
Spin magnetization ... 0.00 μB/f.u.